1.
A plane-wave DFT calculation with PBE-GGA was carried out for an optimized crystal structure of LiCeEuGa.

Values from the calculation:
As for the volume: 415 Å³/cell. As for the formation energy: -0.58 eV/f.u. The calculation puts the density of states at the Fermi level at 34.1 states/eV/cell. The crystal system is cubic. The total magnetization is 8.12 μB/f.u.

Cell lengths 7.4617, 7.4617, 7.4617 Å; angles 90.00, 90.00, 90.00 degrees
Last column: nearest neighbours and their distance in Å.
Space group F-43m (No. 216)
Unique sites:
Li (0.0000, 0.0000, 0.0000) x4  4 Ce 3.23, 4 Eu 3.23
Ce (0.2500, 0.2500, 0.7500) x4  4 Li 3.23, 4 Ga 3.23
Eu (0.2500, 0.2500, 0.2500) x4  4 Li 3.23, 4 Ga 3.23
Ga (0.0000, 0.0000, 0.5000) x4  4 Ce 3.23, 4 Eu 3.23

2.
A plane-wave DFT calculation with PBE-GGA was carried out for an optimized crystal structure of CeEuMgGa.

Values from the calculation:
As for the volume: 434 Å³/cell. As for the formation energy: -0.76 eV/f.u. The calculation puts the density of states at the Fermi level at 39.1 states/eV/cell. The crystal system is cubic. The total magnetization is 6.65 μB/f.u.

Cell lengths 7.5684, 7.5684, 7.5684 Å; angles 90.00, 90.00, 90.00 degrees
Last column: nearest neighbours and their distance in Å.
Space group F-43m (No. 216)
Unique sites:
Ce (0.0000, 0.0000, 0.0000) x4  4 Ga 3.28, 4 Mg 3.28
Eu (0.0000, 0.0000, 0.5000) x4  4 Mg 3.28, 4 Ga 3.28
Mg (0.2500, 0.2500, 0.7500) x4  4 Ce 3.28, 4 Eu 3.28
Ga (0.2500, 0.2500, 0.2500) x4  4 Ce 3.28, 4 Eu 3.28

3.
A plane-wave DFT calculation with PBE-GGA was carried out for an optimized crystal structure of CeEuGaPt.

Values from the calculation:
As for the volume: 382 Å³/cell. As for the formation energy: -2.62 eV/f.u. The calculation puts the density of states at the Fermi level at 33.2 states/eV/cell. The crystal system is cubic. The total magnetization is 7.20 μB/f.u.

Cell lengths 7.2584, 7.2584, 7.2584 Å; angles 90.00, 90.00, 90.00 degrees
Last column: nearest neighbours and their distance in Å.
Space group F-43m (No. 216)
Unique sites:
Ce (0.0000, 0.0000, 0.0000) x4  4 Pt 3.14, 4 Ga 3.14
Eu (0.0000, 0.0000, 0.5000) x4  4 Ga 3.14, 4 Pt 3.14
Ga (0.2500, 0.2500, 0.7500) x4  4 Ce 3.14, 4 Eu 3.14
Pt (0.2500, 0.2500, 0.2500) x4  4 Ce 3.14, 4 Eu 3.14

4.
A plane-wave DFT calculation with PBE-GGA was carried out for an optimized crystal structure of CeEuGaRu.

Values from the calculation:
As for the volume: 360 Å³/cell. As for the formation energy: -0.82 eV/f.u. The calculation puts the density of states at the Fermi level at 18.6 states/eV/cell. The crystal system is cubic. The total magnetization is 6.69 μB/f.u.

Cell lengths 7.1130, 7.1130, 7.1130 Å; angles 90.00, 90.00, 90.00 degrees
Last column: nearest neighbours and their distance in Å.
Space group F-43m (No. 216)
Unique sites:
Ce (0.0000, 0.0000, 0.0000) x4  4 Ru 3.08, 4 Ga 3.08
Eu (0.0000, 0.0000, 0.5000) x4  4 Ru 3.08, 4 Ga 3.08
Ga (0.2500, 0.2500, 0.7500) x4  4 Ce 3.08, 4 Eu 3.08
Ru (0.2500, 0.2500, 0.2500) x4  4 Ce 3.08, 4 Eu 3.08

5.
A plane-wave DFT calculation with PBE-GGA was carried out for an optimized crystal structure of CeEuGaSi.

Values from the calculation:
The formation energy from raw total energies comes out at -0.41 eV/atom. As for the volume: 385 Å³/cell. The calculation puts the density of states at the Fermi level at 19.7 states/eV/cell. The crystal system is cubic. The total magnetization is 6.18 μB/f.u.

Cell lengths 7.2730, 7.2730, 7.2730 Å; angles 90.00, 90.00, 90.00 degrees
Last column: nearest neighbours and their distance in Å.
Space group F-43m (No. 216)
Unique sites:
Ce (0.0000, 0.0000, 0.0000) x4  4 Si 3.15, 4 Ga 3.15
Eu (0.0000, 0.0000, 0.5000) x4  4 Si 3.15, 4 Ga 3.15
Ga (0.2500, 0.2500, 0.7500) x4  4 Ce 3.15, 4 Eu 3.15
Si (0.2500, 0.2500, 0.2500) x4  4 Ce 3.15, 4 Eu 3.15

6.
A plane-wave DFT calculation with PBE-GGA was carried out for an optimized crystal structure of CeEuTlGa.

Values from the calculation:
As for the volume: 449 Å³/cell. As for the formation energy: -1.33 eV/f.u. The calculation puts the density of states at the Fermi level at 48.1 states/eV/cell. The crystal system is cubic. The total magnetization is 8.12 μB/f.u.

Cell lengths 7.6568, 7.6568, 7.6568 Å; angles 90.00, 90.00, 90.00 degrees
Last column: nearest neighbours and their distance in Å.
Space group F-43m (No. 216)
Unique sites:
Ce (0.0000, 0.0000, 0.0000) x4  4 Tl 3.32, 4 Ga 3.32
Eu (0.0000, 0.0000, 0.5000) x4  4 Ga 3.32, 4 Tl 3.32
Tl (0.2500, 0.2500, 0.7500) x4  4 Eu 3.32, 4 Ce 3.32
Ga (0.2500, 0.2500, 0.2500) x4  4 Ce 3.32, 4 Eu 3.32

7.
A plane-wave DFT calculation with PBE-GGA was carried out for an optimized crystal structure of CeEuGdHo.

Values from the calculation:
As for the volume: 541 Å³/cell. As for the formation energy: 0.92 eV/f.u. The calculation puts the density of states at the Fermi level at 47.5 states/eV/cell. The crystal system is cubic. The total magnetization is 1.15 μB/f.u.

Cell lengths 8.1473, 8.1473, 8.1473 Å; angles 90.00, 90.00, 90.00 degrees
Last column: nearest neighbours and their distance in Å.
Space group F-43m (No. 216)
Unique sites:
Ce (0.0000, 0.0000, 0.0000) x4  4 Ho 3.53, 4 Gd 3.53
Eu (0.0000, 0.0000, 0.5000) x4  4 Gd 3.53, 4 Ho 3.53
Gd (0.2500, 0.2500, 0.7500) x4  4 Ce 3.53, 4 Eu 3.53
Ho (0.2500, 0.2500, 0.2500) x4  4 Eu 3.53, 4 Ce 3.53

8.
A plane-wave DFT calculation with PBE-GGA was carried out for an optimized crystal structure of LaCeEuGd.

Values from the calculation:
As for the volume: 570 Å³/cell. As for the formation energy: 0.95 eV/f.u. The calculation puts the density of states at the Fermi level at 50.8 states/eV/cell. The crystal system is cubic. The total magnetization is 2.14 μB/f.u.

Cell lengths 8.2894, 8.2894, 8.2894 Å; angles 90.00, 90.00, 90.00 degrees
Last column: nearest neighbours and their distance in Å.
Space group F-43m (No. 216)
Unique sites:
La (0.0000, 0.0000, 0.0000) x4  4 Eu 3.59, 4 Ce 3.59
Ce (0.2500, 0.2500, 0.2500) x4  4 La 3.59, 4 Gd 3.59
Eu (0.2500, 0.2500, 0.7500) x4  4 Gd 3.59, 4 La 3.59
Gd (0.0000, 0.0000, 0.5000) x4  4 Ce 3.59, 4 Eu 3.59

9.
A plane-wave DFT calculation with PBE-GGA was carried out for an optimized crystal structure of CeNdEuGd.

Values from the calculation:
As for the volume: 561 Å³/cell. As for the formation energy: 0.91 eV/f.u. The calculation puts the density of states at the Fermi level at 45.6 states/eV/cell. The crystal system is cubic. The total magnetization is 2.32 μB/f.u.

Cell lengths 8.2455, 8.2455, 8.2455 Å; angles 90.00, 90.00, 90.00 degrees
Last column: nearest neighbours and their distance in Å.
Space group F-43m (No. 216)
Unique sites:
Ce (0.0000, 0.0000, 0.0000) x4  4 Gd 3.57, 4 Nd 3.57
Nd (0.2500, 0.2500, 0.7500) x4  4 Ce 3.57, 4 Eu 3.57
Eu (0.0000, 0.0000, 0.5000) x4  4 Gd 3.57, 4 Nd 3.57
Gd (0.2500, 0.2500, 0.2500) x4  4 Ce 3.57, 4 Eu 3.57

10.
A plane-wave DFT calculation with PBE-GGA was carried out for an optimized crystal structure of CePmEuGd.

Values from the calculation:
As for the volume: 557 Å³/cell. As for the formation energy: 0.99 eV/f.u. The calculation puts the density of states at the Fermi level at 56.1 states/eV/cell. The crystal system is cubic. The total magnetization is 13.93 μB/f.u.

Cell lengths 8.2296, 8.2296, 8.2296 Å; angles 90.00, 90.00, 90.00 degrees
Last column: nearest neighbours and their distance in Å.
Space group F-43m (No. 216)
Unique sites:
Ce (0.0000, 0.0000, 0.0000) x4  4 Gd 3.56, 4 Pm 3.56
Pm (0.2500, 0.2500, 0.2500) x4  4 Ce 3.56, 4 Eu 3.56
Eu (0.0000, 0.0000, 0.5000) x4  4 Pm 3.56, 4 Gd 3.56
Gd (0.2500, 0.2500, 0.7500) x4  4 Eu 3.56, 4 Ce 3.56

11.
A plane-wave DFT calculation with PBE-GGA was carried out for an optimized crystal structure of CePrEuGd.

Values from the calculation:
As for the volume: 565 Å³/cell. As for the formation energy: 0.93 eV/f.u. The calculation puts the density of states at the Fermi level at 48.3 states/eV/cell. The crystal system is cubic. The total magnetization is 2.01 μB/f.u.

Cell lengths 8.2674, 8.2674, 8.2674 Å; angles 90.00, 90.00, 90.00 degrees
Last column: nearest neighbours and their distance in Å.
Space group F-43m (No. 216)
Unique sites:
Ce (0.0000, 0.0000, 0.0000) x4  4 Gd 3.58, 4 Pr 3.58
Pr (0.2500, 0.2500, 0.7500) x4  4 Ce 3.58, 4 Eu 3.58
Eu (0.0000, 0.0000, 0.5000) x4  4 Pr 3.58, 4 Gd 3.58
Gd (0.2500, 0.2500, 0.2500) x4  4 Eu 3.58, 4 Ce 3.58

12.
A plane-wave DFT calculation with PBE-GGA was carried out for an optimized crystal structure of CeSmEuGd.

Values from the calculation:
As for the volume: 562 Å³/cell. As for the formation energy: 0.94 eV/f.u. The calculation puts the density of states at the Fermi level at 49.8 states/eV/cell. The crystal system is cubic. The total magnetization is 1.75 μB/f.u.

Cell lengths 8.2526, 8.2526, 8.2526 Å; angles 90.00, 90.00, 90.00 degrees
Last column: nearest neighbours and their distance in Å.
Space group F-43m (No. 216)
Unique sites:
Ce (0.0000, 0.0000, 0.0000) x4  4 Gd 3.57, 4 Sm 3.57
Sm (0.2500, 0.2500, 0.7500) x4  4 Ce 3.57, 4 Eu 3.57
Eu (0.0000, 0.0000, 0.5000) x4  4 Gd 3.57, 4 Sm 3.57
Gd (0.2500, 0.2500, 0.2500) x4  4 Eu 3.57, 4 Ce 3.57